First-principles (PBE-GGA) data for a relaxed RbAgTeMoSe2 crystal, as listed in the Open Quantum Materials Database.

Computed properties:
- Calculated volume: 341 Å³/cell

Cell lengths 8.390, 8.390, 10.587 Å; angles 90.00, 90.00, 152.78 degrees
Fractional positions:
Rb (0.230, 0.770, 0.750)
Rb (0.770, 0.230, 0.250)
Ag (0.458, 0.542, 0.250)
Ag (0.542, 0.458, 0.750)
Te (0.078, 0.922, 0.250)
Te (0.922, 0.078, 0.750)
Mo (0.000, 0.000, 0.000)
Mo (0.000, 0.000, 0.500)
Se (0.392, 0.608, 0.031)
Se (0.392, 0.608, 0.469)
Se (0.608, 0.392, 0.531)
Se (0.608, 0.392, 0.969)

First-principles (PBE-GGA) data for a relaxed GdEr3C2S2 crystal, as listed in the Open Quantum Materials Database.

Computed properties:
- Calculated volume: 151 Å³/cell

Cell lengths 3.686, 3.686, 12.841 Å; angles 90.00, 90.00, 120.00 degrees
Fractional positions:
Gd (0.000, 0.000, 0.000)
Er (0.000, 0.000, 0.706)
Er (0.333, 0.667, 0.211)
Er (0.333, 0.667, 0.501)
C (0.667, 0.333, 0.107)
C (0.667, 0.333, 0.603)
S (0.000, 0.000, 0.355)
S (0.333, 0.667, 0.849)

VASP energy (eV for the cell shown)
-53.70 -55.19